DFT (PBE) results for ErPuHgSb after structural relaxation.

Properties
Calculated volume = 26.216 Å³ per atom
Formation energy without anion corrections = -458 meV/atom

a = 5.2931 Å, b = 5.2931 Å, c = 5.2931 Å
α = 60.00°, β = 60.00°, γ = 60.00°
With the nearest neighbours (Å) after each atom.
Fractional coordinates of all 4 atoms:
Er: 0.5000 0.5000 0.5000  4 Hg 3.24, 4 Sb 3.24
Hg: 0.2500 0.2500 0.2500  4 Er 3.24, 4 Pu 3.24
Sb: 0.7500 0.7500 0.7500  4 Er 3.24, 4 Pu 3.24
Pu: 0.0000 0.0000 0.0000  4 Hg 3.24, 4 Sb 3.24